DFT (PBE) results for an optimized crystal structure of PuCoNi2.

Geometry as POSCAR:
```
PuCoNi2
1.0
3.965 0.000 0.000
0.000 3.750 0.000
0.000 0.000 3.750
Ni Co Pu
2 1 1
Direct
0.000 0.000 0.500
0.000 0.500 0.000
0.500 0.500 0.500
0.500 0.000 0.000
```

Output
Fermi-level density of states	10.5	states/eV per cell
formation energy	-48	meV per atom
magnetization	3.502	μB/f.u.
space-group type	P4/mmm (123)
calculated volume	13.936	A^3/atom
uncorrected energy	-8.299	eV/atom



DFT (PBE) results for an optimized crystal structure of DyTmCd2.

Geometry as POSCAR:
```
DyTmCd2
1.0
-2.096 0.747 -3.027
3.364 -2.674 -2.989
-2.750 -4.378 0.822
Cd Tm Dy
2 1 1
Direct
0.000 0.000 0.500
0.000 0.500 0.000
0.500 0.500 0.500
0.500 0.000 0.000
```

Output
Fermi-level density of states	3.7	states/eV per cell
distance to the lowest polymorph of the same formula	0.3	kJ per mole of atoms
formation energy	-315	meV per atom
magnetization	0.000	μB/f.u.
space-group type	P4/mmm (123)
calculated volume	25.738	A^3/atom
uncorrected energy	-3.041	eV/atom



DFT (PBE) results for an optimized crystal structure of CuReRu2.

Geometry as POSCAR:
```
CuReRu2
1.0
4.654 -0.001 -0.004
3.871 2.584 -0.004
0.748 0.227 4.606
Cu Re Ru
1 1 2
Direct
0.750 0.750 0.750
0.250 0.250 0.250
0.995 0.995 0.001
0.505 0.505 0.499
```

Output
Fermi-level density of states	3.5	states/eV per cell
distance to the lowest polymorph of the same formula	6.2	kJ per mole of atoms
formation energy	191	meV per atom
magnetization	0.000	μB/f.u.
space-group type	C2/m (12)
calculated volume	13.860	A^3/atom
uncorrected energy	-8.583	eV/atom



DFT (PBE) results for an optimized crystal structure of KY3W.

Geometry as POSCAR:
```
KY3W
1.0
-4.931 -0.694 -2.612
-2.531 -0.722 4.970
-0.949 5.533 0.320
Y K W
3 1 1
Direct
0.000 0.500 0.000
0.000 0.000 0.500
0.500 0.000 0.000
0.500 0.500 0.500
0.000 0.000 0.000
```

Output
Fermi-level density of states	8.5	states/eV per cell
distance to the lowest polymorph of the same formula	0.0	kJ per mole of atoms
formation energy	595	meV per atom
magnetization	0.000	μB/f.u.
space-group type	Pm-3m (221)
calculated volume	35.565	A^3/atom
uncorrected energy	-6.093	eV/atom



DFT (PBE) results for an optimized crystal structure of Tb2Ho2Co.

Geometry as POSCAR:
```
Tb2Ho2Co
1.0
3.591 0.000 0.537
1.706 6.165 0.866
0.002 0.889 12.271
Tb Ho Co
4 4 2
Direct
0.651 0.378 0.320
0.996 0.158 0.849
0.349 0.622 0.680
0.004 0.842 0.151
0.122 0.184 0.572
0.695 0.695 0.915
0.878 0.816 0.428
0.305 0.305 0.085
0.668 0.952 0.712
0.332 0.048 0.288
```

Output
Fermi-level density of states	11.1	states/eV per cell
formation energy	-98	meV per atom
magnetization	0.000	μB/f.u.
space-group type	C2/m (12)
calculated volume	26.972	A^3/atom
uncorrected energy	-5.202	eV/atom



DFT (PBE) results for an optimized crystal structure of Cs2Sn3Te4.

Geometry as POSCAR:
```
Cs2Sn3Te4
1.0
8.775 0.000 0.000
0.000 9.082 0.000
-4.388 0.000 8.726
Cs Sn Te
4 6 8
Direct
0.105 0.588 0.209
0.895 0.412 0.791
0.395 0.088 0.791
0.605 0.912 0.209
0.000 0.000 0.000
0.500 0.500 0.000
0.535 0.750 0.569
0.965 0.250 0.431
0.465 0.250 0.431
0.035 0.750 0.569
0.702 0.750 0.904
0.798 0.250 0.096
0.298 0.250 0.096
0.202 0.750 0.904
0.193 0.977 0.386
0.807 0.023 0.614
0.307 0.477 0.614
0.693 0.523 0.386
```

Output
Fermi-level density of states	0.6	states/eV per cell
magnetization	0.000	μB/f.u.
space-group type	Cmce (64)
calculated volume	38.636	A^3/atom
uncorrected energy	-3.414	eV/atom



DFT (PBE) results for an optimized crystal structure of Rb2Ag2Au15.

Geometry as POSCAR:
```
Rb2Ag2Au15
1.0
7.345 -0.084 0.866
0.760 7.306 0.866
-0.095 -0.084 7.396
Rb Ag Au
2 2 15
Direct
0.346 0.346 0.346
0.654 0.654 0.654
0.098 0.098 0.098
0.902 0.902 0.902
0.500 0.000 0.000
0.000 0.000 0.500
0.000 0.500 0.000
0.000 0.697 0.303
0.697 0.303 0.000
0.303 0.000 0.697
0.303 0.697 0.000
0.697 0.000 0.303
0.000 0.303 0.697
0.152 0.657 0.657
0.657 0.657 0.152
0.657 0.152 0.657
0.848 0.343 0.343
0.343 0.343 0.848
0.343 0.848 0.343
```

Output
Fermi-level density of states	5.3	states/eV per cell
formation energy	-95	meV per atom
magnetization	0.000	μB/f.u.
space-group type	R-3m (166)
calculated volume	20.971	A^3/atom
uncorrected energy	-3.084	eV/atom



DFT (PBE) results for an optimized crystal structure of MnCoSI2.

Geometry as POSCAR:
```
MnCoSI2
1.0
-0.994 -4.780 1.626
4.121 -1.147 -0.852
1.362 1.342 4.777
I S Mn Co
2 1 1 1
Direct
0.000 0.000 0.500
0.500 0.000 0.000
0.500 0.500 0.500
0.000 0.500 0.000
0.000 0.000 0.000
```

Output
Fermi-level density of states	6.8	states/eV per cell
magnetization	0.207	μB/f.u.
space-group type	P4/mmm (123)
calculated volume	23.100	A^3/atom
uncorrected energy	-3.470	eV/atom



DFT (PBE) results for an optimized crystal structure of CdAg3Br.

Geometry as POSCAR:
```
CdAg3Br
1.0
5.267 0.000 0.000
0.000 5.267 0.000
0.000 0.000 5.267
Br Ag Cd
1 3 1
Direct
0.500 0.500 0.500
0.000 0.500 0.000
0.000 0.000 0.500
0.500 0.000 0.000
0.000 0.000 0.000
```

Output
Fermi-level density of states	2.5	states/eV per cell
distance to the lowest polymorph of the same formula	0.0	kJ per mole of atoms
magnetization	0.000	μB/f.u.
space-group type	Pm-3m (221)
calculated volume	29.229	A^3/atom
uncorrected energy	-1.691	eV/atom



DFT (PBE) results for an optimized crystal structure of BeVRhPb2.

Geometry as POSCAR:
```
BeVRhPb2
1.0
5.248 0.000 0.000
0.000 4.701 0.000
0.000 0.000 5.248
Pb Be Rh V
2 1 1 1
Direct
0.000 0.000 0.500
0.500 0.000 0.000
0.500 0.500 0.500
0.000 0.000 0.000
0.000 0.500 0.000
```

Output
Fermi-level density of states	3.6	states/eV per cell
formation energy	924	meV per atom
magnetization	2.779	μB/f.u.
space-group type	P4/mmm (123)
calculated volume	25.897	A^3/atom
uncorrected energy	-4.598	eV/atom



DFT (PBE) results for an optimized crystal structure of La2MgSnRu.

Geometry as POSCAR:
```
La2MgSnRu
1.0
-2.629 -2.252 4.212
1.545 -4.950 -1.682
4.329 0.366 2.898
Ru Mg Sn La
1 1 1 2
Direct
0.000 0.000 0.000
0.500 0.500 0.500
0.000 0.000 0.500
0.000 0.500 0.000
0.500 0.000 0.000
```

Output
Fermi-level density of states	4.4	states/eV per cell
distance to the lowest polymorph of the same formula	5.1	kJ per mole of atoms
formation energy	-300	meV per atom
magnetization	0.000	μB/f.u.
space-group type	P4/mmm (123)
calculated volume	31.047	A^3/atom
uncorrected energy	-5.246	eV/atom



DFT (PBE) results for an optimized crystal structure of KCuAg2.

Geometry as POSCAR:
```
KCuAg2
1.0
5.492 -0.020 0.000
-1.805 5.187 0.000
0.000 0.000 2.944
Ag Cu K
2 1 1
Direct
0.000 0.000 0.000
0.500 0.500 0.000
0.500 0.000 0.500
0.000 0.500 0.500
```

Output
Fermi-level density of states	0.8	states/eV per cell
distance to the lowest polymorph of the same formula	18.5	kJ per mole of atoms
formation energy	423	meV per atom
magnetization	0.000	μB/f.u.
space-group type	Cmmm (65)
calculated volume	20.936	A^3/atom
uncorrected energy	-2.301	eV/atom



DFT (PBE) results for an optimized crystal structure of CaAc2Pt.

Geometry as POSCAR:
```
CaAc2Pt
1.0
3.839 0.000 0.000
0.000 3.839 0.000
0.000 0.000 9.938
Ac Ca Pt
2 1 1
Direct
0.000 0.000 0.822
0.000 0.000 0.178
0.500 0.500 0.500
0.500 0.500 0.000
```

Output
Fermi-level density of states	4.6	states/eV per cell
distance to the lowest polymorph of the same formula	7.8	kJ per mole of atoms
formation energy	-497	meV per atom
magnetization	0.000	μB/f.u.
space-group type	P4/mmm (123)
calculated volume	36.617	A^3/atom
uncorrected energy	-4.562	eV/atom